Sr2Mo after structural relaxation, computed with PBE.

Unit cell a=12.5314 b=12.5314 c=12.5314 alpha=90.00 beta=90.00 gamma=90.00
With the nearest neighbours (Å) after each atom.
Space group Fd-3m (No. 227, origin choice 2)
Symmetry-distinct sites (fractional):
Sr: 0.0000 0.0000 0.0000 x16  2 Mo 2.71
Mo: 0.1250 0.1250 0.1250 x8  4 Sr 2.71

Calculated values
**M_tot**: 2.0 μB per formula unit
**Energy relative to the lowest polymorph listed for this composition**: 2.807 eV/f.u.
**V**: 1968 Å³ per cell